(1)
A plane-wave DFT calculation with PBE was carried out for crystalline YIrRuPb at its relaxed geometry.

Results
DOS(E_F) = 5.002 states/eV/cell
ΔH_f (0 K) = -0.069 eV/atom
Energy above the lowest structure with this stoichiometry = 0.485 eV per formula unit

a b c (Å): 4.030 4.030 9.478
angles (deg): 90.00 90.00 90.00
Sites, in units of the cell vectors:
Pb (0.500, 0.500, 0.000)
Pb (0.000, 0.000, 0.500)
Y (0.500, 0.000, 0.750)
Y (0.000, 0.500, 0.250)
Ru (0.000, 0.000, 0.000)
Ru (0.500, 0.500, 0.500)
Ir (0.500, 0.000, 0.250)
Ir (0.000, 0.500, 0.750)


(2)
A plane-wave DFT calculation with PBE was carried out for crystalline KZnCu2 at its relaxed geometry.

Results
DOS(E_F) = 1.369 states/eV/cell
ΔH_f (0 K) = 0.368 eV/atom

a b c (Å): 6.003 6.003 6.003
angles (deg): 153.11 126.77 60.62
Sites, in units of the cell vectors:
Zn (0.201, 0.701, 0.500)
K (0.503, 0.503, 0.000)
Cu (0.800, 0.300, 0.500)
Cu (0.996, 0.996, 0.000)


(3)
A plane-wave DFT calculation with PBE was carried out for crystalline In2TcPbO at its relaxed geometry.

Results
DOS(E_F) = 4.002 states/eV/cell
Raw formation energy = 1.0166 eV/atom

a b c (Å): 5.857 4.213 5.857
angles (deg): 90.00 90.00 90.00
Each line ends with the local moment (μB).
Sites, in units of the cell vectors:
In (0.000, 0.000, 0.500)  -0.02
In (0.500, 0.000, 0.000)  -0.03
O (0.000, 0.500, 0.000)  0.02
Pb (0.000, 0.000, 0.000)  0.03
Tc (0.500, 0.500, 0.500)  3.40


(4)
A plane-wave DFT calculation with PBE was carried out for crystalline In2CoSb at its relaxed geometry.

Results
DOS(E_F) = 6.246 states/eV/cell
Raw formation energy = 0.3857 eV/atom

a b c (Å): 4.700 4.700 9.483
angles (deg): 75.65 75.65 90.00
Each line ends with the local moment (μB).
Sites, in units of the cell vectors:
In (0.196, 0.625, 0.250)  -0.02
In (0.554, 0.125, 0.250)  -0.02
In (0.875, 0.804, 0.750)  -0.02
In (0.375, 0.446, 0.750)  -0.01
Co (0.500, 0.500, 0.000)  1.45
Co (0.250, 0.750, 0.500)  1.44
Sb (0.000, 0.000, 0.000)  0.00
Sb (0.750, 0.250, 0.500)  0.01


Question: Which of these has the highest DOS(E_F)?
Answer: In2CoSb